# 1
A geometry-optimized Y4GaSe2Br structure, computed with PBE.

a = 7.1704 Å, b = 4.0803 Å, c = 7.2826 Å
α = 90.00°, β = 108.66°, γ = 90.00°
Fractional coordinates of all 8 atoms:
Y: 0.2374 0.0000 0.2214
Y: 0.2522 0.5000 0.7659
Y: 0.7478 0.5000 0.2341
Y: 0.7626 0.0000 0.7786
Ga: 0.5000 0.0000 0.0000
Se: 0.0000 0.0000 0.5000
Se: 0.0000 0.5000 0.0000
Br: 0.5000 0.5000 0.5000

# 2
A geometry-optimized YGaSe2Br structure, computed with PBE.

a = 5.0691 Å, b = 5.0691 Å, c = 4.9436 Å
α = 90.00°, β = 90.00°, γ = 90.00°
Fractional coordinates of all 5 atoms:
Y: 0.0000 0.0000 0.0000
Ga: 0.5000 0.5000 0.5000
Se: 0.0000 0.5000 0.5000
Se: 0.5000 0.0000 0.5000
Br: 0.5000 0.5000 0.0000

# 3
A geometry-optimized ZnGaSeBr2 structure, computed with PBE.

a = 5.2793 Å, b = 5.2793 Å, c = 4.9433 Å
α = 90.00°, β = 90.00°, γ = 90.00°
Fractional coordinates of all 5 atoms:
Zn: 0.0000 0.0000 0.0000
Ga: 0.5000 0.5000 0.5000
Se: 0.0000 0.0000 0.5000
Br: 0.0000 0.5000 0.0000
Br: 0.5000 0.0000 0.0000

Number 1: ΔE_f (raw) -1.322 eV per atom, size of the total moment 0.00 μB per formula unit, E_tot -48.10 eV/cell. Number 2: ΔE_f (raw) -0.581 eV per atom, size of the total moment 0.00 μB per formula unit, E_tot -21.04 eV/cell. Number 3: ΔE_f (raw) -0.215 eV per atom, size of the total moment 0.00 μB per formula unit, E_tot -12.21 eV/cell.